VASP calculation (GGA-PBE) on a relaxed structure of Mn2AuSe.

a b c (Å): 3.5315 3.5315 7.1247
angles (deg): 104.21 104.21 59.77
Sites, in units of the cell vectors:
1 Mn 0.2469 0.2469 0.2414
2 Mn 0.7531 0.7531 0.7586
3 Au 0.0000 0.0000 0.5000
4 Se 0.5000 0.5000 0.0000

Computed properties:
calculated density: 8.70 Mg/m³
uncorrected formation energy: -0.02 eV/f.u.
volume: 73.63 Å³/f.u.